# SrPaGa6 PBE optimized geometry
data_SrPaGa6
_chemical_formula_sum 'Sr1 Pa1 Ga6'
_cell_length_a 4.427
_cell_length_b 6.469
_cell_length_c 5.940
_cell_angle_alpha 90.00
_cell_angle_beta 90.00
_cell_angle_gamma 90.00
_symmetry_space_group_name_H-M 'P m m 2'
_symmetry_Int_Tables_number 25
_symmetry_space_group_name_Hall 'P 2 -2'
loop_
_atom_site_label
_atom_site_fract_x
_atom_site_fract_y
_atom_site_fract_z
Sr1 0.000 0.000 0.000
Pa1 0.500 0.500 0.244
Ga1 0.000 0.267 0.476
Ga2 0.000 0.500 0.904
Ga3 0.500 0.000 0.408
Ga4 0.500 0.287 0.762
# Uncorrected energy = -3.954 eV per atom
# Calculated volume = 170.1 Å³/cell
# Total moment = 0.0 μB/f.u.
# Calculated density = 7.19 g cm⁻³

=====

# SrPaGa PBE optimized geometry
data_SrPaGa
_chemical_formula_sum 'Sr2 Pa2 Ga2'
_cell_length_a 3.4058
_cell_length_b 3.4058
_cell_length_c 16.7671
_cell_angle_alpha 90.00
_cell_angle_beta 90.00
_cell_angle_gamma 120.00
_symmetry_space_group_name_H-M 'P -6 m 2'
_symmetry_Int_Tables_number 187
_symmetry_space_group_name_Hall 'P -6 2'
loop_
_atom_site_label
_atom_site_fract_x
_atom_site_fract_y
_atom_site_fract_z
Sr1 0.0000 0.0000 0.1583
Pa1 0.3333 0.6667 0.3581
Ga1 0.0000 0.0000 0.5000
Ga2 0.3333 0.6667 0.0000
# Uncorrected energy = -4.472 eV per atom
# Calculated volume = 168.4 Å³/cell
# Total moment = 0.0 μB/f.u.
# Calculated density = 7.66 g cm⁻³

=====

# SrPaGa2 PBE optimized geometry
data_SrPaGa2
_chemical_formula_sum 'Sr1 Pa1 Ga2'
_cell_length_a 3.383
_cell_length_b 3.383
_cell_length_c 8.581
_cell_angle_alpha 90.00
_cell_angle_beta 90.00
_cell_angle_gamma 90.00
_symmetry_space_group_name_H-M 'P 4/m m m'
_symmetry_Int_Tables_number 123
_symmetry_space_group_name_Hall '-P 4 2'
loop_
_atom_site_label
_atom_site_fract_x
_atom_site_fract_y
_atom_site_fract_z
Sr1 0.000 0.000 0.000
Pa1 0.000 0.000 0.500
Ga1 0.500 0.500 0.270
# Excess energy over the best structure of this formula in the dataset = 0.0 meV per atom
# Calculated volume = 98.2 Å³/cell
# Total moment = 0.0 μB/f.u.
# Calculated density = 7.74 g cm⁻³

=====

# SrPaGa2 PBE optimized geometry
data_SrPaGa2
_chemical_formula_sum 'Sr3 Pa3 Ga6'
_cell_length_a 4.8692
_cell_length_b 4.8692
_cell_length_c 16.4425
_cell_angle_alpha 90.00
_cell_angle_beta 90.00
_cell_angle_gamma 120.00
_symmetry_space_group_name_H-M 'R -3 m'
_symmetry_Int_Tables_number 166
_symmetry_space_group_name_Hall '-R 3 2"'
loop_
_atom_site_label
_atom_site_fract_x
_atom_site_fract_y
_atom_site_fract_z
Sr1 0.0000 0.0000 0.0000
Pa1 0.0000 0.0000 0.5000
Ga1 0.0000 0.0000 0.2234
# Excess energy over the best structure of this formula in the dataset = 238.4 meV per atom
# Calculated volume = 337.6 Å³/cell
# Total moment = 1.1 μB/f.u.
# Calculated density = 6.76 g cm⁻³

=====

# Pa2TaGa PBE optimized geometry
data_Pa2TaGa
_chemical_formula_sum 'Pa2 Ta1 Ga1'
_cell_length_a 4.287
_cell_length_b 4.287
_cell_length_c 4.602
_cell_angle_alpha 90.00
_cell_angle_beta 90.00
_cell_angle_gamma 90.00
_symmetry_space_group_name_H-M 'P 4/m m m'
_symmetry_Int_Tables_number 123
_symmetry_space_group_name_Hall '-P 4 2'
loop_
_atom_site_label
_atom_site_fract_x
_atom_site_fract_y
_atom_site_fract_z
Pa1 0.000 0.500 0.000
Ta1 0.000 0.000 0.500
Ga1 0.500 0.500 0.500
# Excess energy over the best structure of this formula in the dataset = 0.0 meV per atom
# Calculated volume = 84.6 Å³/cell
# Total moment = 0.0 μB/f.u.
# Calculated density = 14.00 g cm⁻³

=====

# Pa2TaGa PBE optimized geometry
data_Pa2TaGa
_chemical_formula_sum 'Pa2 Ta1 Ga1'
_cell_length_a 3.764
_cell_length_b 3.764
_cell_length_c 6.281
_cell_angle_alpha 90.00
_cell_angle_beta 90.00
_cell_angle_gamma 90.00
_symmetry_space_group_name_H-M 'P 4/m m m'
_symmetry_Int_Tables_number 123
_symmetry_space_group_name_Hall '-P 4 2'
loop_
_atom_site_label
_atom_site_fract_x
_atom_site_fract_y
_atom_site_fract_z
Pa1 0.000 0.000 0.231
Ta1 0.500 0.500 0.500
Ga1 0.500 0.500 0.000
# Excess energy over the best structure of this formula in the dataset = 139.5 meV per atom
# Calculated volume = 89.0 Å³/cell
# Total moment = 0.0 μB/f.u.
# Calculated density = 13.30 g cm⁻³

=====

# Pa2TaGa5 PBE optimized geometry
data_Pa2TaGa5
_chemical_formula_sum 'Pa4 Ta2 Ga10'
_cell_length_a 6.398
_cell_length_b 6.398
_cell_length_c 7.628
_cell_angle_alpha 90.00
_cell_angle_beta 90.00
_cell_angle_gamma 90.00
_symmetry_space_group_name_H-M 'I 4 m m'
_symmetry_Int_Tables_number 107
_symmetry_space_group_name_Hall 'I 4 -2'
loop_
_atom_site_label
_atom_site_fract_x
_atom_site_fract_y
_atom_site_fract_z
Pa1 0.000 0.500 0.000
Ta1 0.000 0.000 0.105
Ga1 0.000 0.000 0.479
Ga2 0.208 0.208 0.754
# Uncorrected energy = -5.970 eV per atom
# Calculated volume = 312.2 Å³/cell
# Total moment = 0.0 μB/f.u.
# Calculated density = 10.55 g cm⁻³

=====

# Pa3TaGa5 PBE optimized geometry
data_Pa3TaGa5
_chemical_formula_sum 'Pa6 Ta2 Ga10'
_cell_length_a 8.6083
_cell_length_b 8.6083
_cell_length_c 5.8477
_cell_angle_alpha 90.00
_cell_angle_beta 90.00
_cell_angle_gamma 120.00
_symmetry_space_group_name_H-M 'P 63/m c m'
_symmetry_Int_Tables_number 193
_symmetry_space_group_name_Hall '-P 6c 2'
loop_
_atom_site_label
_atom_site_fract_x
_atom_site_fract_y
_atom_site_fract_z
Pa1 0.0000 0.3788 0.2500
Ta1 0.0000 0.0000 0.0000
Ga1 0.0000 0.2744 0.7500
Ga2 0.3333 0.6667 0.0000
# Uncorrected energy = -6.417 eV per atom
# Calculated volume = 375.3 Å³/cell
# Total moment = 0.0 μB/f.u.
# Calculated density = 10.82 g cm⁻³